[1]
This record from the Alexandria database describes LaTc3B3 after structural relaxation. The functional is PBE.

```
data_LaTc3B3
_chemical_formula_sum 'La2 Tc6 B6'
_space_group_name_H-M_alt 'P 1'
_space_group_IT_number 1
_cell_length_a 8.500
_cell_length_b 8.500
_cell_length_c 3.029
_cell_angle_alpha 90.00
_cell_angle_beta 90.00
_cell_angle_gamma 120.00
loop_
_space_group_symop_operation_xyz
'x,y,z'
loop_
_atom_site_label
_atom_site_type_symbol
_atom_site_fract_x
_atom_site_fract_y
_atom_site_fract_z
La1 La 0.333 0.667 0.250
La2 La 0.667 0.333 0.750
Tc1 Tc 0.037 0.293 0.750
Tc2 Tc 0.257 0.963 0.750
Tc3 Tc 0.293 0.257 0.250
Tc4 Tc 0.707 0.743 0.750
Tc5 Tc 0.743 0.037 0.250
Tc6 Tc 0.963 0.707 0.250
B1 B 0.026 0.558 0.750
B2 B 0.442 0.469 0.750
B3 B 0.469 0.026 0.250
B4 B 0.531 0.974 0.750
B5 B 0.558 0.531 0.250
B6 B 0.974 0.442 0.250
```

DFT total energy = -113.3 eV for the cell shown
total magnetization = 0.000 μB/cell
E_form = -88 meV/atom

[2]
This record from the Alexandria database describes Nd2AlNi after structural relaxation. The functional is PBE.

```
data_Nd2AlNi
_chemical_formula_sum 'Nd4 Al2 Ni2'
_space_group_name_H-M_alt 'P 1'
_space_group_IT_number 1
_cell_length_a 4.431
_cell_length_b 4.588
_cell_length_c 9.898
_cell_angle_alpha 90.00
_cell_angle_beta 90.00
_cell_angle_gamma 90.00
loop_
_space_group_symop_operation_xyz
'x,y,z'
loop_
_atom_site_label
_atom_site_type_symbol
_atom_site_fract_x
_atom_site_fract_y
_atom_site_fract_z
Nd1 Nd 0.000 0.000 0.169
Nd2 Nd 0.000 0.000 0.831
Nd3 Nd 0.500 0.500 0.331
Nd4 Nd 0.500 0.500 0.669
Al1 Al 0.000 0.000 0.500
Al2 Al 0.500 0.500 0.000
Ni1 Ni 0.000 0.500 0.500
Ni2 Ni 0.500 0.000 0.000
```

DFT total energy = -40.0 eV for the cell shown
total magnetization = 0.000 μB/cell
energy above the lowest structure with this stoichiometry = 32 meV/atom
E_form = -241 meV/atom